# 1
LaPm4Mg5 | PBE | relaxed

E_tot	-32.98	eV/cell
SG	P4/mmm (123)
energy of formation	-108	meV/atom

The structure in POSCAR format:
```
LaPm4Mg5
1.0
3.880 0.000 0.000
0.000 3.880 0.000
0.000 0.000 19.477
La Pm Mg
1 4 5
Direct
0.000 0.000 0.000 La
0.000 0.000 0.204 Pm
0.000 0.000 0.401 Pm
0.000 0.000 0.599 Pm
0.000 0.000 0.796 Pm
0.500 0.500 0.105 Mg
0.500 0.500 0.302 Mg
0.500 0.500 0.500 Mg
0.500 0.500 0.698 Mg
0.500 0.500 0.895 Mg
```

# 2
Ti4Nb2In2H | PBE | relaxed

E_tot	-62.26	eV/cell
SG	I4/mmm (139)

The structure in POSCAR format:
```
Ti4Nb2In2H
1.0
-3.098 3.098 3.817
3.098 -3.098 3.817
3.098 3.098 -3.817
Ti Nb In H
4 2 2 1
Direct
0.250 0.250 0.500 Ti
0.250 0.750 0.000 Ti
0.750 0.250 0.000 Ti
0.750 0.750 0.500 Ti
0.238 0.238 0.000 Nb
0.762 0.762 0.000 Nb
0.250 0.750 0.500 In
0.750 0.250 0.500 In
0.500 0.500 0.000 H
```

# 3
CaThCdRh | PBE | relaxed

E_tot	-76.02	eV/cell
SG	F-43m (216)
energy of formation	-329	meV/atom

The structure in POSCAR format:
```
CaThCdRh
1.0
7.311 0.000 0.000
0.000 7.311 0.000
0.000 0.000 7.311
Ca Th Cd Rh
4 4 4 4
Direct
0.000 0.000 0.000 Ca
0.000 0.500 0.500 Ca
0.500 0.000 0.500 Ca
0.500 0.500 0.000 Ca
0.000 0.000 0.500 Th
0.000 0.500 0.000 Th
0.500 0.000 0.000 Th
0.500 0.500 0.500 Th
0.250 0.250 0.250 Cd
0.250 0.750 0.750 Cd
0.750 0.250 0.750 Cd
0.750 0.750 0.250 Cd
0.250 0.250 0.750 Rh
0.250 0.750 0.250 Rh
0.750 0.250 0.250 Rh
0.750 0.750 0.750 Rh
```

# 4
HoTmBeCd | PBE | relaxed

E_tot	-55.52	eV/cell
SG	F-43m (216)
energy of formation	-48	meV/atom

The structure in POSCAR format:
```
HoTmBeCd
1.0
7.138 0.000 0.000
0.000 7.138 0.000
0.000 0.000 7.138
Ho Tm Be Cd
4 4 4 4
Direct
0.000 0.000 0.000 Ho
0.000 0.500 0.500 Ho
0.500 0.000 0.500 Ho
0.500 0.500 0.000 Ho
0.000 0.000 0.500 Tm
0.000 0.500 0.000 Tm
0.500 0.000 0.000 Tm
0.500 0.500 0.500 Tm
0.250 0.250 0.750 Be
0.250 0.750 0.250 Be
0.750 0.250 0.250 Be
0.750 0.750 0.750 Be
0.250 0.250 0.250 Cd
0.250 0.750 0.750 Cd
0.750 0.250 0.750 Cd
0.750 0.750 0.250 Cd
```

# 5
Ac6CdCo2 | PBE | relaxed

E_tot	-80.81	eV/cell
SG	Immm (71)
energy of formation	-70	meV/atom

The structure in POSCAR format:
```
Ac6CdCo2
1.0
-5.091 5.388 5.441
5.091 -5.388 5.441
5.091 5.388 -5.441
Ac Cd Co
12 2 4
Direct
0.027 0.228 0.799 Ac
0.179 0.290 0.469 Ac
0.179 0.710 0.889 Ac
0.326 0.009 0.683 Ac
0.326 0.643 0.317 Ac
0.429 0.228 0.201 Ac
0.571 0.772 0.799 Ac
0.674 0.357 0.683 Ac
0.674 0.991 0.317 Ac
0.821 0.290 0.111 Ac
0.821 0.710 0.531 Ac
0.973 0.772 0.201 Ac
0.000 0.000 0.000 Cd
0.500 0.500 0.000 Cd
0.108 0.608 0.500 Co
0.337 0.000 0.337 Co
0.663 0.000 0.663 Co
0.892 0.392 0.500 Co
```

# 6
ScZn4Pd15 | PBE | relaxed

E_tot	-97.46	eV/cell
SG	P4/mmm (123)
energy of formation	-407	meV/atom

The structure in POSCAR format:
```
ScZn4Pd15
1.0
3.939 0.000 0.000
0.000 3.939 0.000
0.000 0.000 19.617
Sc Zn Pd
1 4 15
Direct
0.000 0.000 0.000 Sc
0.000 0.000 0.205 Zn
0.000 0.000 0.401 Zn
0.000 0.000 0.599 Zn
0.000 0.000 0.795 Zn
0.000 0.500 0.104 Pd
0.000 0.500 0.303 Pd
0.000 0.500 0.500 Pd
0.000 0.500 0.697 Pd
0.000 0.500 0.896 Pd
0.500 0.000 0.104 Pd
0.500 0.000 0.303 Pd
0.500 0.000 0.500 Pd
0.500 0.000 0.697 Pd
0.500 0.000 0.896 Pd
0.500 0.500 0.000 Pd
0.500 0.500 0.203 Pd
0.500 0.500 0.402 Pd
0.500 0.500 0.598 Pd
0.500 0.500 0.797 Pd
```

# 7
La2Tb2HoTm2 | PBE | relaxed

E_tot	-63.20	eV/cell
SG	C2/m (12)
energy of formation	148	meV/atom

The structure in POSCAR format:
```
La2Tb2HoTm2
1.0
17.720 0.000 0.000
0.000 3.481 0.000
-3.888 0.000 7.623
La Tb Ho Tm
4 4 2 4
Direct
0.147 0.000 0.379 La
0.353 0.500 0.621 La
0.647 0.500 0.379 La
0.853 0.000 0.621 La
0.069 0.000 0.901 Tb
0.431 0.500 0.099 Tb
0.569 0.500 0.901 Tb
0.931 0.000 0.099 Tb
0.000 0.500 0.500 Ho
0.500 0.000 0.500 Ho
0.212 0.500 0.802 Tm
0.288 0.000 0.198 Tm
0.712 0.000 0.802 Tm
0.788 0.500 0.198 Tm
```

# 8
Co2TcRu2 | PBE | relaxed

E_tot	-83.97	eV/cell
SG	P4/mbm (127)
energy of formation	229	meV/atom

The structure in POSCAR format:
```
Co2TcRu2
1.0
6.901 0.000 0.000
0.000 6.901 0.000
0.000 0.000 2.702
Co Tc Ru
4 2 4
Direct
0.120 0.380 0.000 Co
0.380 0.880 0.000 Co
0.620 0.120 0.000 Co
0.880 0.620 0.000 Co
0.000 0.000 0.000 Tc
0.500 0.500 0.000 Tc
0.176 0.676 0.500 Ru
0.324 0.176 0.500 Ru
0.676 0.824 0.500 Ru
0.824 0.324 0.500 Ru
```

# 9
Pm5Sm4Sc2 | PBE | relaxed

E_tot	-52.47	eV/cell
SG	Immm (71)
energy of formation	257	meV/atom

The structure in POSCAR format:
```
Pm5Sm4Sc2
1.0
-1.740 4.714 11.307
1.740 -4.714 11.307
1.740 4.714 -11.307
Pm Sm Sc
5 4 2
Direct
0.000 0.000 0.000 Pm
0.054 0.344 0.710 Pm
0.366 0.656 0.710 Pm
0.634 0.344 0.290 Pm
0.946 0.656 0.290 Pm
0.300 0.500 0.800 Sm
0.401 0.901 0.500 Sm
0.599 0.099 0.500 Sm
0.700 0.500 0.200 Sm
0.270 0.770 0.500 Sc
0.730 0.230 0.500 Sc
```

# 10
Rb2Tb2IrO6 | PBE | relaxed

E_tot	-73.04	eV/cell
uncorrected formation energy	-2.11	eV/atom
SG	C2/m (12)

The structure in POSCAR format:
```
Rb2Tb2IrO6
1.0
2.928 -5.018 0.000
2.928 5.018 0.000
-1.780 0.000 6.647
Rb Tb Ir O
2 2 1 6
Direct
0.163 0.837 0.000 Rb
0.837 0.163 0.000 Rb
0.335 0.665 0.500 Tb
0.665 0.335 0.500 Tb
0.000 0.000 0.500 Ir
0.048 0.358 0.665 O
0.253 0.253 0.332 O
0.358 0.048 0.665 O
0.642 0.952 0.335 O
0.747 0.747 0.668 O
0.952 0.642 0.335 O
```

# 11
PrMg6Pb6 | PBE | relaxed

E_tot	-38.02	eV/cell
SG	P6/mmm (191)
energy of formation	-110	meV/atom

The structure in POSCAR format:
```
PrMg6Pb6
1.0
6.369 0.000 0.000
-3.185 5.516 0.000
0.000 0.000 9.904
Pr Mg Pb
1 6 6
Direct
0.000 0.000 0.000 Pr
0.000 0.500 0.244 Mg
0.000 0.500 0.756 Mg
0.500 0.000 0.244 Mg
0.500 0.000 0.756 Mg
0.500 0.500 0.244 Mg
0.500 0.500 0.756 Mg
0.000 0.000 0.337 Pb
0.000 0.000 0.663 Pb
0.333 0.667 0.000 Pb
0.333 0.667 0.500 Pb
0.667 0.333 0.000 Pb
0.667 0.333 0.500 Pb
```

# 12
MgHg3Pb12 | PBE | relaxed

E_tot	-46.86	eV/cell
SG	P4/mmm (123)
energy of formation	9	meV/atom

The structure in POSCAR format:
```
MgHg3Pb12
1.0
4.816 0.000 0.000
0.000 4.816 0.000
0.000 0.000 20.466
Mg Hg Pb
1 3 12
Direct
0.000 0.000 0.000 Mg
0.000 0.000 0.252 Hg
0.000 0.000 0.500 Hg
0.000 0.000 0.748 Hg
0.000 0.500 0.122 Pb
0.000 0.500 0.375 Pb
0.000 0.500 0.625 Pb
0.000 0.500 0.878 Pb
0.500 0.000 0.122 Pb
0.500 0.000 0.375 Pb
0.500 0.000 0.625 Pb
0.500 0.000 0.878 Pb
0.500 0.500 0.000 Pb
0.500 0.500 0.248 Pb
0.500 0.500 0.500 Pb
0.500 0.500 0.752 Pb
```

# 13
AcTb7Tm4 | PBE | relaxed

E_tot	-53.91	eV/cell
SG	P-3m1 (164)
energy of formation	41	meV/atom

The structure in POSCAR format:
```
AcTb7Tm4
1.0
3.581 0.000 0.000
-1.791 3.102 0.000
0.000 0.000 34.778
Ac Tb Tm
1 7 4
Direct
0.000 0.000 0.000 Ac
0.000 0.000 0.253 Tb
0.000 0.000 0.500 Tb
0.000 0.000 0.747 Tb
0.333 0.667 0.664 Tb
0.333 0.667 0.910 Tb
0.667 0.333 0.090 Tb
0.667 0.333 0.336 Tb
0.333 0.667 0.171 Tm
0.333 0.667 0.418 Tm
0.667 0.333 0.582 Tm
0.667 0.333 0.829 Tm
```

# 14
Zr2TiPd8 | PBE | relaxed

E_tot	-73.45	eV/cell
SG	C2/m (12)
energy of formation	-629	meV/atom

The structure in POSCAR format:
```
Zr2TiPd8
1.0
7.157 -2.039 0.000
7.157 2.039 0.000
-2.102 0.000 6.206
Zr Ti Pd
2 1 8
Direct
0.218 0.218 0.162 Zr
0.782 0.782 0.838 Zr
0.500 0.500 0.500 Ti
0.038 0.038 0.231 Pd
0.140 0.140 0.682 Pd
0.325 0.325 0.593 Pd
0.403 0.403 0.061 Pd
0.597 0.597 0.939 Pd
0.675 0.675 0.407 Pd
0.860 0.860 0.318 Pd
0.962 0.962 0.769 Pd
```

# 15
Ca2ZnTe | PBE | relaxed

E_tot	-22.08	eV/cell
uncorrected formation energy	-0.66	eV/atom
SG	I-4m2 (119)

The structure in POSCAR format:
```
Ca2ZnTe
1.0
4.425 0.000 0.000
0.000 4.425 0.000
0.000 0.000 11.889
Ca Zn Te
4 2 2
Direct
0.000 0.000 0.000 Ca
0.000 0.500 0.250 Ca
0.500 0.000 0.750 Ca
0.500 0.500 0.500 Ca
0.000 0.000 0.500 Zn
0.500 0.500 0.000 Zn
0.000 0.500 0.750 Te
0.500 0.000 0.250 Te
```

# 16
Dy3Cd2Ag4 | PBE | relaxed

E_tot	-29.57	eV/cell
SG	C2/m (12)
energy of formation	-281	meV/atom

The structure in POSCAR format:
```
Dy3Cd2Ag4
1.0
5.412 -2.416 0.000
5.412 2.416 0.000
-4.561 0.000 7.828
Dy Cd Ag
3 2 4
Direct
0.000 0.000 0.000 Dy
0.340 0.340 0.323 Dy
0.660 0.660 0.677 Dy
0.374 0.374 0.707 Cd
0.626 0.626 0.293 Cd
0.060 0.060 0.394 Ag
0.275 0.275 0.941 Ag
0.725 0.725 0.059 Ag
0.940 0.940 0.606 Ag
```

# 17
ZnCoP2 | PBE | relaxed

E_tot	-56.33	eV/cell
SG	R3m (160)
energy of formation	106	meV/atom

The structure in POSCAR format:
```
ZnCoP2
1.0
3.013 0.000 0.000
-1.507 2.610 0.000
0.000 0.000 20.672
Zn Co P
3 3 6
Direct
0.000 0.000 0.000 Zn
0.333 0.667 0.667 Zn
0.667 0.333 0.333 Zn
0.000 0.000 0.241 Co
0.333 0.667 0.908 Co
0.667 0.333 0.575 Co
0.000 0.000 0.506 P
0.000 0.000 0.763 P
0.333 0.667 0.173 P
0.333 0.667 0.429 P
0.667 0.333 0.096 P
0.667 0.333 0.840 P
```

# 18
Li4NdPd2 | PBE | relaxed

E_tot	-51.20	eV/cell
SG	P4_2/mnm (136)
energy of formation	-399	meV/atom

The structure in POSCAR format:
```
Li4NdPd2
1.0
7.776 0.000 0.000
0.000 7.776 0.000
0.000 0.000 4.196
Li Nd Pd
8 2 4
Direct
0.097 0.347 0.000 Li
0.153 0.597 0.500 Li
0.347 0.097 0.000 Li
0.403 0.847 0.500 Li
0.597 0.153 0.500 Li
0.653 0.903 0.000 Li
0.847 0.403 0.500 Li
0.903 0.653 0.000 Li
0.000 0.000 0.500 Nd
0.500 0.500 0.000 Nd
0.209 0.791 0.000 Pd
0.291 0.291 0.500 Pd
0.709 0.709 0.500 Pd
0.791 0.209 0.000 Pd
```